Record 1
## Tm6Cd3Ru (PBE-GGA)

Data for a relaxed Tm6Cd3Ru crystal.

a b c (Å): 5.0845 8.9999 12.3874
angles (deg): 90.00 114.17 90.00
Last column: nearest neighbours and their distance in Å.
Atoms (fractional coordinates):
Tm 0.0801 0.1531 0.0791  2 Ru 3.02-3.03, 1 Cd 3.25, 3 Tm 3.28-3.34
Tm 0.0801 0.3469 0.5791  2 Ru 3.02-3.03, 1 Cd 3.25, 3 Tm 3.28-3.34
Tm 0.2619 0.5183 0.2630  1 Ru 2.68, 2 Cd 2.98-3.00
Tm 0.2619 0.9817 0.7630  1 Ru 2.68, 2 Cd 2.98-3.00
Tm 0.4122 0.1982 0.4114  1 Ru 2.90
Tm 0.4122 0.3018 0.9114  1 Ru 2.90
Tm 0.5878 0.6982 0.0886  1 Ru 2.90
Tm 0.5878 0.8018 0.5886  1 Ru 2.90
Tm 0.7381 0.0183 0.2370  1 Ru 2.68, 2 Cd 2.98-3.00
Tm 0.7381 0.4817 0.7370  1 Ru 2.68, 2 Cd 2.98-3.00
Tm 0.9199 0.6531 0.4209  2 Ru 3.02-3.03, 1 Cd 3.25, 3 Tm 3.28-3.34
Tm 0.9199 0.8469 0.9209  2 Ru 3.02-3.03, 1 Cd 3.25, 3 Tm 3.28-3.34
Cd 0.0000 0.0000 0.5000  8 Tm 2.98-3.27
Cd 0.0000 0.5000 0.0000  8 Tm 2.98-3.27
Cd 0.2891 0.6497 0.7882  3 Tm 3.00-3.01
Cd 0.2891 0.8503 0.2882  3 Tm 3.00-3.01
Cd 0.7109 0.1497 0.7118  3 Tm 3.00-3.01
Cd 0.7109 0.3503 0.2118  3 Tm 3.00-3.01
Ru 0.5000 0.0000 0.0000  4 Tm 2.68-2.90
Ru 0.5000 0.5000 0.5000  4 Tm 2.68-2.90

Properties
Distance to the lowest polymorph of the same formula: 61 meV/atom
Formation enthalpy at 0 K: -0.23 eV/atom
SG: P2_1/c, No. 14


Record 2
## TbSeBr (PBE-GGA)

Data for a relaxed TbSeBr crystal.

a b c (Å): 8.4317 8.4317 5.7232
angles (deg): 90.00 90.00 90.00
Last column: nearest neighbours and their distance in Å.
Atoms (fractional coordinates):
Tb 0.0000 0.2532 0.0000  2 Br 2.84, 4 Se 2.87-2.90
Tb 0.0000 0.7468 0.0000  2 Br 2.84, 4 Se 2.87-2.90
Tb 0.2532 0.0000 0.5000  2 Br 2.84, 4 Se 2.87-2.90
Tb 0.7468 0.0000 0.5000  2 Br 2.84, 4 Se 2.87-2.90
Se 0.0000 0.2330 0.5000  4 Tb 2.87-2.90
Se 0.0000 0.7670 0.5000  4 Tb 2.87-2.90
Se 0.2330 0.0000 0.0000  4 Tb 2.87-2.90
Se 0.7670 0.0000 0.0000  4 Tb 2.87-2.90
Br 0.2287 0.5000 0.0000  2 Tb 2.84
Br 0.5000 0.2287 0.5000  2 Tb 2.84
Br 0.5000 0.7713 0.5000  2 Tb 2.84
Br 0.7713 0.5000 0.0000  2 Tb 2.84

Properties
Formation energy without anion corrections: -181.97 kJ per mole of atoms
SG: P4_2/mmc, No. 131


Record 3
## Si2AsS8 (PBE-GGA)

Data for a relaxed Si2AsS8 crystal.

a b c (Å): 7.3427 7.3427 7.2931
angles (deg): 92.95 92.95 57.17
Last column: nearest neighbours and their distance in Å.
Atoms (fractional coordinates):
Si 0.1524 0.1524 0.2071  4 S 2.08-2.16
Si 0.8476 0.8476 0.7929  4 S 2.08-2.16
As 0.0000 0.0000 0.5000  4 S 2.50
S 0.1514 0.6625 0.6776  1 Si 2.08
S 0.1828 0.1828 0.9184  1 S 2.09, 1 Si 2.16
S 0.3083 0.3083 0.1133  1 S 2.09, 1 Si 2.16
S 0.3375 0.8486 0.3224  1 Si 2.08
S 0.6625 0.1514 0.6776  1 Si 2.08
S 0.6917 0.6917 0.8867  1 S 2.09, 1 Si 2.16
S 0.8172 0.8172 0.0816  1 S 2.09, 1 Si 2.16
S 0.8486 0.3375 0.3224  1 Si 2.08

Properties
Formation energy without anion corrections: -9.07 kJ per mole of atoms
SG: C2/m, No. 12


Record 4
## La3ZnN (PBE-GGA)

Data for a relaxed La3ZnN crystal.

a b c (Å): 6.5760 6.5760 9.7553
angles (deg): 117.21 117.21 46.21
Last column: nearest neighbours and their distance in Å.
Atoms (fractional coordinates):
La 0.0291 0.0291 0.2009  2 N 2.54-2.56
La 0.3196 0.3196 0.9437  3 N 2.59-2.67
La 0.3522 0.3522 0.3247  1 N 2.36
La 0.6478 0.6478 0.6753  1 N 2.36
La 0.6804 0.6804 0.0563  3 N 2.59-2.67
La 0.9709 0.9709 0.7991  2 N 2.54-2.56
Zn 0.2739 0.2739 0.5911  2 Zn 3.02, 4 La 3.18-3.30
Zn 0.7261 0.7261 0.4089  2 Zn 3.02, 4 La 3.18-3.30
N 0.1687 0.1687 0.0713  5 La 2.36-2.59
N 0.8313 0.8313 0.9287  5 La 2.36-2.59

Properties
Formation energy without anion corrections: -57.51 kJ per mole of atoms
Distance to the lowest polymorph of the same formula: 100 meV/atom
SG: C2/m, No. 12


Short version: V = 25.9, 33.9, 30.0, 26.4 A^3/atom, in the order given.